[1]
## Nd2PuTl (PBE-GGA)

Data for a geometry-optimized Nd2PuTl structure.

Values from the calculation:
The formation energy from the elements is 16 meV per atom. The space-group type is No. 225.

a b c (Å): 5.5452 5.5452 5.5452
angles (deg): 60.00 60.00 60.00
With the nearest neighbours (Å) after each atom.
Sites, in units of the cell vectors:
Nd (0.2500, 0.2500, 0.2500)  4 Tl 3.40, 4 Pu 3.40
Nd (0.7500, 0.7500, 0.7500)  4 Tl 3.40, 4 Pu 3.40
Pu (0.0000, 0.0000, 0.0000)  8 Nd 3.40
Tl (0.5000, 0.5000, 0.5000)  8 Nd 3.40

=====

[2]
## PuMnNi (PBE-GGA)

Data for a geometry-optimized PuMnNi structure.

Values from the calculation:
The formation energy from the elements is 221 meV per atom. The space-group type is No. 70.

a b c (Å): 10.3776 9.7222 5.0376
angles (deg): 82.84 68.36 28.79
With the nearest neighbours (Å) after each atom.
Sites, in units of the cell vectors:
Pu (0.0431, 0.7069, 0.0431)  4 Ni 2.75-2.77, 3 Pu 2.86-2.95
Pu (0.2931, 0.9569, 0.2931)  4 Ni 2.75-2.77, 3 Pu 2.86-2.95
Pu (0.7069, 0.0431, 0.7069)  4 Ni 2.75-2.77, 3 Pu 2.86-2.95
Pu (0.9569, 0.2931, 0.9569)  4 Ni 2.75-2.77, 3 Pu 2.86-2.95
Mn (0.2891, 0.2891, 0.4609)  4 Ni 2.58-2.62
Mn (0.4609, 0.4609, 0.2891)  4 Ni 2.58-2.62
Mn (0.5391, 0.5391, 0.7109)  4 Ni 2.58-2.62
Mn (0.7109, 0.7109, 0.5391)  4 Ni 2.58-2.62
Ni (0.0001, 0.0001, 0.2499)  2 Ni 2.52, 4 Mn 2.58-2.62, 4 Pu 2.75-2.77
Ni (0.9999, 0.9999, 0.7501)  2 Ni 2.52, 4 Mn 2.58-2.62, 4 Pu 2.75-2.77
Ni (0.2499, 0.2499, 0.0001)  2 Ni 2.52, 4 Mn 2.58-2.62, 4 Pu 2.75-2.77
Ni (0.7501, 0.7501, 0.9999)  2 Ni 2.52, 4 Mn 2.58-2.62, 4 Pu 2.75-2.77

=====

[3]
## TmSc4Al (PBE-GGA)

Data for a geometry-optimized TmSc4Al structure.

Values from the calculation:
The formation energy from the elements is -58 meV per atom. The space-group type is No. 12.

a b c (Å): 5.0267 5.0267 6.4647
angles (deg): 90.10 90.10 60.07
With the nearest neighbours (Å) after each atom.
Sites, in units of the cell vectors:
Tm (0.0000, 0.0000, 0.0000)  6 Sc 3.06, 2 Al 3.23
Sc (0.3335, 0.3335, 0.3540)  3 Al 3.05, 5 Sc 3.19-3.26
Sc (0.3329, 0.3329, 0.8495)  3 Tm 3.06, 5 Sc 3.19-3.26
Sc (0.6671, 0.6671, 0.1505)  3 Tm 3.06, 5 Sc 3.19-3.26
Sc (0.6665, 0.6665, 0.6460)  3 Al 3.05, 5 Sc 3.19-3.26
Al (0.0000, 0.0000, 0.5000)  6 Sc 3.05, 2 Tm 3.23

=====

[4]
## Cu3SiBr (PBE-GGA)

Data for a geometry-optimized Cu3SiBr structure.

Values from the calculation:
As for the total DFT energy (no corrections): -16.76 eV/cell. The space-group type is No. 221.

a b c (Å): 4.5608 4.5608 4.5608
angles (deg): 90.00 90.00 90.00
With the nearest neighbours (Å) after each atom.
Sites, in units of the cell vectors:
Cu (0.0000, 0.0000, 0.5000)  2 Si 2.28
Cu (0.0000, 0.5000, 0.0000)  2 Si 2.28
Cu (0.5000, 0.0000, 0.0000)  2 Si 2.28
Si (0.0000, 0.0000, 0.0000)  6 Cu 2.28
Br (0.5000, 0.5000, 0.5000)  12 Cu 3.22

=====

[5]
## SmIrS2 (PBE-GGA)

Data for a geometry-optimized SmIrS2 structure.

Values from the calculation:
As for the total DFT energy (no corrections): -23.74 eV/cell. The space-group type is No. 166.

a b c (Å): 8.1117 8.1117 8.1117
angles (deg): 26.27 26.27 26.27
With the nearest neighbours (Å) after each atom.
Sites, in units of the cell vectors:
Sm (0.0000, 0.0000, 0.0000)  2 S 2.79
Ir (0.5000, 0.5000, 0.5000)  6 S 2.41
S (0.1189, 0.1189, 0.1189)  3 Ir 2.41
S (0.8811, 0.8811, 0.8811)  3 Ir 2.41

=====

[6]
## ScCd2TcO6 (PBE-GGA)

Data for a geometry-optimized ScCd2TcO6 structure.

Values from the calculation:
As for the total DFT energy (no corrections): -63.95 eV/cell. The space-group type is No. 99.

a b c (Å): 5.4948 5.4948 4.6289
angles (deg): 90.00 90.00 90.00
With the nearest neighbours (Å) after each atom.
Sites, in units of the cell vectors:
Sc (0.0000, 0.0000, 0.0000)  5 O 1.95-2.13
Cd (0.0000, 0.5000, 0.3994)  4 O 2.36
Cd (0.5000, 0.0000, 0.3994)  4 O 2.36
Tc (0.5000, 0.5000, 0.9652)  1 O 1.72
O (0.0000, 0.0000, 0.5793)  1 Sc 1.95
O (0.2664, 0.2664, 0.1111)  1 Tc 1.94, 1 Sc 2.13
O (0.2664, 0.7336, 0.1111)  1 Tc 1.94, 1 Sc 2.13
O (0.5000, 0.5000, 0.5941)  1 Tc 1.72
O (0.7336, 0.2664, 0.1111)  1 Tc 1.94, 1 Sc 2.13
O (0.7336, 0.7336, 0.1111)  1 Tc 1.94, 1 Sc 2.13

=====

[7]
## Tl2GeCl3 (PBE-GGA)

Data for a geometry-optimized Tl2GeCl3 structure.

Values from the calculation:
As for the total DFT energy (no corrections): -37.42 eV/cell. The space-group type is No. 15.

a b c (Å): 9.1333 9.1333 7.4876
angles (deg): 101.63 101.63 36.38
With the nearest neighbours (Å) after each atom.
Sites, in units of the cell vectors:
Tl (0.1970, 0.2055, 0.1010)  2 Cl 3.18-3.21
Tl (0.2055, 0.1970, 0.6010)  2 Cl 3.18-3.21
Tl (0.7945, 0.8030, 0.3990)  2 Cl 3.18-3.21
Tl (0.8030, 0.7945, 0.8990)  2 Cl 3.18-3.21
Ge (0.4860, 0.5140, 0.7500)  1 Cl 2.31
Ge (0.5140, 0.4860, 0.2500)  1 Cl 2.31
Cl (0.0802, 0.9198, 0.7500)  1 Ge 2.31
Cl (0.3820, 0.3851, 0.4427)  2 Ge 2.72
Cl (0.3851, 0.3820, 0.9427)  2 Ge 2.72
Cl (0.6149, 0.6180, 0.0573)  2 Ge 2.72
Cl (0.6180, 0.6149, 0.5573)  2 Ge 2.72
Cl (0.9198, 0.0802, 0.2500)  1 Ge 2.31

=====

[8]
## NdAlPbS4 (PBE-GGA)

Data for a geometry-optimized NdAlPbS4 structure.

Values from the calculation:
As for the total DFT energy (no corrections): -74.74 eV/cell. The space-group type is No. 11.

a b c (Å): 6.6541 6.6627 8.0718
angles (deg): 90.00 107.12 90.00
With the nearest neighbours (Å) after each atom.
Sites, in units of the cell vectors:
Nd (0.2246, 0.2500, 0.0572)  6 S 2.85-2.94
Nd (0.7754, 0.7500, 0.9428)  6 S 2.85-2.94
Al (0.2365, 0.7500, 0.8098)  4 S 2.22-2.25
Al (0.7635, 0.2500, 0.1902)  4 S 2.22-2.25
Pb (0.2584, 0.2500, 0.5706)  6 S 2.91-3.22
Pb (0.7416, 0.7500, 0.4294)  6 S 2.91-3.22
S (0.0052, 0.0046, 0.7618)  1 Al 2.25
S (0.0052, 0.4954, 0.7618)  1 Al 2.25
S (0.4313, 0.7500, 0.0894)  1 Al 2.25
S (0.4352, 0.7500, 0.6312)  1 Al 2.22
S (0.5648, 0.2500, 0.3688)  1 Al 2.22
S (0.5687, 0.2500, 0.9106)  1 Al 2.25
S (0.9948, 0.5046, 0.2382)  1 Al 2.25
S (0.9948, 0.9954, 0.2382)  1 Al 2.25

=====

[9]
## Pm4SiBiSe2 (PBE-GGA)

Data for a geometry-optimized Pm4SiBiSe2 structure.

Values from the calculation:
As for the total DFT energy (no corrections): -46.01 eV/cell. The space-group type is No. 10.

a b c (Å): 7.4398 4.3155 7.5476
angles (deg): 90.00 109.43 90.00
With the nearest neighbours (Å) after each atom.
Sites, in units of the cell vectors:
Pm (0.2444, 0.0000, 0.2349)  2 Si 2.99, 3 Se 3.00-3.12, 1 Bi 3.12
Pm (0.2529, 0.5000, 0.7675)  1 Si 2.97, 3 Se 2.99-3.15, 2 Bi 3.12
Pm (0.7471, 0.5000, 0.2325)  1 Si 2.97, 3 Se 2.99-3.15, 2 Bi 3.12
Pm (0.7556, 0.0000, 0.7651)  2 Si 2.99, 3 Se 3.00-3.12, 1 Bi 3.12
Si (0.0000, 0.5000, 0.0000)  6 Pm 2.97-2.99
Bi (0.0000, 0.0000, 0.5000)  6 Pm 3.12
Se (0.5000, 0.0000, 0.0000)  6 Pm 2.99-3.00
Se (0.5000, 0.5000, 0.5000)  6 Pm 3.12-3.15

=====

[10]
## SrMg4Ir (PBE-GGA)

Data for a geometry-optimized SrMg4Ir structure.

Values from the calculation:
The formation energy from the elements is 134 meV per atom. The space-group type is No. 216.

a b c (Å): 5.7223 5.7223 5.7223
angles (deg): 60.00 60.00 60.00
With the nearest neighbours (Å) after each atom.
Sites, in units of the cell vectors:
Sr (0.0000, 0.0000, 0.0000)  12 Mg 3.36, 4 Ir 3.50
Mg (0.3766, 0.3766, 0.3766)  6 Mg 2.82-2.90
Mg (0.3766, 0.3766, 0.8701)  6 Mg 2.82-2.90
Mg (0.3766, 0.8701, 0.3766)  6 Mg 2.82-2.90
Mg (0.8701, 0.3766, 0.3766)  6 Mg 2.82-2.90
Ir (0.7500, 0.7500, 0.7500)  12 Mg 3.35, 4 Sr 3.50

=====

[11]
## MgCoP2I (PBE-GGA)

Data for a geometry-optimized MgCoP2I structure.

Values from the calculation:
As for the total DFT energy (no corrections): -12.68 eV/cell. The space-group type is No. 123.

a b c (Å): 5.1860 5.1860 5.2074
angles (deg): 90.00 90.00 90.00
With the nearest neighbours (Å) after each atom.
Sites, in units of the cell vectors:
Mg (0.0000, 0.0000, 0.0000)  2 I 2.60
Co (0.5000, 0.5000, 0.0000)  4 Mg 3.67, 8 P 3.67
P (0.0000, 0.5000, 0.5000)  2 I 2.59
P (0.5000, 0.0000, 0.5000)  2 I 2.59
I (0.0000, 0.0000, 0.5000)  4 P 2.59, 2 Mg 2.60

=====

[12]
## Cd2FeCoAg (PBE-GGA)

Data for a geometry-optimized Cd2FeCoAg structure.

Values from the calculation:
The formation energy from the elements is 823 meV per atom. The space-group type is No. 123.

a b c (Å): 4.9967 4.9967 4.2475
angles (deg): 90.00 90.00 90.00
With the nearest neighbours (Å) after each atom.
Sites, in units of the cell vectors:
Cd (0.0000, 0.5000, 0.0000)  2 Fe 2.50
Cd (0.5000, 0.0000, 0.0000)  2 Fe 2.50
Fe (0.0000, 0.0000, 0.0000)  2 Co 2.12
Co (0.0000, 0.0000, 0.5000)  2 Fe 2.12
Ag (0.5000, 0.5000, 0.5000)  8 Cd 3.28, 4 Co 3.53

=====

[13]
## Na4Sc3RuO8 (PBE-GGA)

Data for a geometry-optimized Na4Sc3RuO8 structure.

Values from the calculation:
As for the total DFT energy (no corrections): -111.44 eV/cell. The space-group type is No. 166.

a b c (Å): 6.5791 6.5791 6.5791
angles (deg): 57.08 57.08 57.08
With the nearest neighbours (Å) after each atom.
Sites, in units of the cell vectors:
Na (0.0000, 0.0000, 0.0000)  6 O 2.42
Na (0.0000, 0.5000, 0.5000)  6 O 2.42-2.44
Na (0.5000, 0.0000, 0.5000)  6 O 2.42-2.44
Na (0.5000, 0.5000, 0.0000)  6 O 2.42-2.44
Sc (0.0000, 0.0000, 0.5000)  6 O 2.13-2.15
Sc (0.0000, 0.5000, 0.0000)  6 O 2.13-2.15
Sc (0.5000, 0.0000, 0.0000)  6 O 2.13-2.15
Ru (0.5000, 0.5000, 0.5000)  6 O 2.14
O (0.2342, 0.2342, 0.2342)  3 Sc 2.13
O (0.2365, 0.7361, 0.7361)  1 Ru 2.14, 2 Sc 2.15
O (0.2639, 0.2639, 0.7635)  1 Ru 2.14, 2 Sc 2.15
O (0.2639, 0.7635, 0.2639)  1 Ru 2.14, 2 Sc 2.15
O (0.7361, 0.2365, 0.7361)  1 Ru 2.14, 2 Sc 2.15
O (0.7361, 0.7361, 0.2365)  1 Ru 2.14, 2 Sc 2.15
O (0.7635, 0.2639, 0.2639)  1 Ru 2.14, 2 Sc 2.15
O (0.7658, 0.7658, 0.7658)  3 Sc 2.13

=====

[14]
## ScCrRu (PBE-GGA)

Data for a geometry-optimized ScCrRu structure.

Values from the calculation:
The formation energy from the elements is -93 meV per atom. The space-group type is No. 107.

a b c (Å): 5.3719 5.3719 5.3719
angles (deg): 147.07 147.07 47.26
With the nearest neighbours (Å) after each atom.
Sites, in units of the cell vectors:
Sc (0.0000, 0.0000, 0.0000)  4 Cr 2.79, 5 Ru 2.81-3.12, 4 Sc 3.05
Cr (0.3200, 0.3200, 0.0000)  4 Ru 2.54, 4 Sc 2.79
Ru (0.6827, 0.6827, 0.0000)  4 Cr 2.54, 4 Sc 2.81

=====

[15]
## K2CaBe (PBE-GGA)

Data for a geometry-optimized K2CaBe structure.

Values from the calculation:
The formation energy from the elements is 676 meV per atom. The space-group type is No. 5.

a b c (Å): 5.9603 5.9603 5.9668
angles (deg): 119.52 119.52 90.41
With the nearest neighbours (Å) after each atom.
Sites, in units of the cell vectors:
K (0.0000, 0.0000, 0.0000)  4 Be 3.66-3.67, 4 K 3.66-3.67
K (0.7498, 0.2502, 0.5000)  4 K 3.66-3.67, 4 Ca 3.66-3.67
Ca (0.4987, 0.5013, 0.0000)  4 Be 3.65-3.68, 4 K 3.66-3.67
Be (0.2498, 0.7502, 0.5000)  4 Ca 3.65-3.68, 4 K 3.66-3.67

=====

[16]
## Tb3Sb2 (PBE-GGA)

Data for a geometry-optimized Tb3Sb2 structure.

Values from the calculation:
As for the total DFT energy (no corrections): -78.52 eV/cell. The space-group type is No. 12.

a b c (Å): 9.5451 9.5451 11.7847
angles (deg): 96.58 96.58 26.54
With the nearest neighbours (Å) after each atom.
Sites, in units of the cell vectors:
Tb (0.0000, 0.0000, 0.0000)  6 Sb 3.07-3.11
Tb (0.0451, 0.0451, 0.6599)  4 Sb 3.00-3.23
Tb (0.2921, 0.2921, 0.4018)  3 Sb 3.16-3.21
Tb (0.3284, 0.3284, 0.1014)  4 Sb 2.99-3.07
Tb (0.3535, 0.3535, 0.7429)  5 Sb 2.99-3.15
Tb (0.6465, 0.6465, 0.2571)  5 Sb 2.99-3.15
Tb (0.6716, 0.6716, 0.8986)  4 Sb 2.99-3.07
Tb (0.7079, 0.7079, 0.5982)  3 Sb 3.16-3.21
Tb (0.9549, 0.9549, 0.3401)  4 Sb 3.00-3.23
Sb (0.1238, 0.1238, 0.4415)  7 Tb 3.11-3.23
Sb (0.1655, 0.1655, 0.0791)  6 Tb 3.01-3.11
Sb (0.4873, 0.4873, 0.1794)  6 Tb 2.99-3.07
Sb (0.5127, 0.5127, 0.8206)  6 Tb 2.99-3.07
Sb (0.8345, 0.8345, 0.9209)  6 Tb 3.01-3.11
Sb (0.8762, 0.8762, 0.5585)  7 Tb 3.11-3.23

=====

[17]
## HgSb3Pb (PBE-GGA)

Data for a geometry-optimized HgSb3Pb structure.

Values from the calculation:
As for the total DFT energy (no corrections): -13.14 eV/cell. The space-group type is No. 221.

a b c (Å): 5.5772 5.5772 5.5772
angles (deg): 90.00 90.00 90.00
With the nearest neighbours (Å) after each atom.
Sites, in units of the cell vectors:
Hg (0.0000, 0.0000, 0.0000)  6 Sb 2.79
Sb (0.0000, 0.0000, 0.5000)  2 Hg 2.79
Sb (0.0000, 0.5000, 0.0000)  2 Hg 2.79
Sb (0.5000, 0.0000, 0.0000)  2 Hg 2.79
Pb (0.5000, 0.5000, 0.5000)  12 Sb 3.94

=====

[18]
## Co2Ni7Pt (PBE-GGA)

Data for a geometry-optimized Co2Ni7Pt structure.

Values from the calculation:
The formation energy from the elements is 589 meV per atom. The space-group type is No. 65.

a b c (Å): 6.8083 6.8083 3.7755
angles (deg): 90.00 90.00 124.47
With the nearest neighbours (Å) after each atom.
Sites, in units of the cell vectors:
Co (0.1988, 0.8012, 0.0000)  5 Ni 2.22-2.40
Co (0.8012, 0.1988, 0.0000)  5 Ni 2.22-2.40
Ni (0.0000, 0.0000, 0.0000)  4 Ni 2.37, 2 Co 2.40
Ni (0.2048, 0.4209, 0.0000)  1 Co 2.27, 4 Ni 2.37-2.51
Ni (0.2965, 0.7035, 0.5000)  2 Co 2.22, 1 Pt 2.45
Ni (0.4209, 0.2048, 0.0000)  1 Co 2.27, 4 Ni 2.37-2.51
Ni (0.5791, 0.7952, 0.0000)  1 Co 2.27, 4 Ni 2.37-2.51
Ni (0.7035, 0.2965, 0.5000)  2 Co 2.22, 1 Pt 2.45
Ni (0.7952, 0.5791, 0.0000)  1 Co 2.27, 4 Ni 2.37-2.51
Pt (0.5000, 0.5000, 0.5000)  10 Ni 2.45-2.58

=====

[19]
## NdDy2Pa (PBE-GGA)

Data for a geometry-optimized NdDy2Pa structure.

Values from the calculation:
The formation energy from the elements is 128 meV per atom. The space-group type is No. 123.

a b c (Å): 3.4277 3.4277 10.3060
angles (deg): 90.00 90.00 90.00
With the nearest neighbours (Å) after each atom.
Sites, in units of the cell vectors:
Nd (0.0000, 0.0000, 0.0000)  4 Nd 3.43, 8 Dy 3.70
Dy (0.5000, 0.5000, 0.2715)  4 Pa 3.38, 4 Dy 3.43, 4 Nd 3.70
Dy (0.5000, 0.5000, 0.7285)  4 Pa 3.38, 4 Dy 3.43, 4 Nd 3.70
Pa (0.0000, 0.0000, 0.5000)  8 Dy 3.38, 4 Pa 3.43

=====

Calculated theoretical density in order - 10.149 11.646 4.407 5.227 7.329 5.510 5.391 4.920 7.085 4.726 3.226 7.007 4.031 7.204 1.395 7.532 7.400 8.330 9.603 g/cm³
Calculated volume in order - 30.1 17.0 23.6 19.0 23.0 14.0 30.2 24.4 28.6 22.1 28.0 21.2 11.7 15.2 37.9 31.8 34.7 14.4 30.3 A^3/atom